Entry 1:
Computed, not measured: crystalline NaLa4Te5 at its relaxed geometry at the PBE-GGA level of DFT.

SG: Immm
ΔE_f (raw), eV per atom: -1.526
Spin magnetization, μB/atom: 0.000
Density, g/cm³: 5.92
E, eV per cell: -52.0

Cell lengths 12.183, 12.183, 12.183 Å; angles 158.32, 149.22, 37.97 degrees
Fractional coordinates of all 10 atoms:
Na: 0.000 0.000 0.000
La: 0.202 0.202 0.000
La: 0.400 0.400 0.000
La: 0.600 0.600 0.000
La: 0.798 0.798 0.000
Te: 0.100 0.600 0.500
Te: 0.301 0.801 0.500
Te: 0.500 0.000 0.500
Te: 0.699 0.199 0.500
Te: 0.900 0.400 0.500

***

Entry 2:
Computed, not measured: crystalline Y3SiOs at its relaxed geometry at the PBE-GGA level of DFT.

SG: Pm-3m
ΔE_f (raw), eV per atom: 0.142
Spin magnetization, μB/atom: 0.000
Density, g/cm³: 5.46
E, eV per cell: -35.3
Distance to the lowest polymorph of the same formula, eV per atom: 0.000

Cell lengths 5.284, 5.284, 5.284 Å; angles 90.00, 90.00, 90.00 degrees
Fractional coordinates of all 5 atoms:
Y: 0.000 0.000 0.500
Y: 0.000 0.500 0.000
Y: 0.500 0.000 0.000
Si: 0.500 0.500 0.500
Os: 0.000 0.000 0.000

***

Entry 3:
Computed, not measured: crystalline Eu2InPt at its relaxed geometry at the PBE-GGA level of DFT.

SG: Fm-3m
Spin magnetization, μB/atom: 3.495
Density, g/cm³: 9.69
E, eV per cell: -31.6
Distance to the lowest polymorph of the same formula, eV per atom: 0.099

Cell lengths 5.299, 5.299, 5.299 Å; angles 60.00, 60.00, 60.00 degrees
Fractional coordinates of all 4 atoms:
Eu: 0.250 0.250 0.250
Eu: 0.750 0.750 0.750
In: 0.000 0.000 0.000
Pt: 0.500 0.500 0.500

***

Entry 4:
Computed, not measured: crystalline AcCeAlSn at its relaxed geometry at the PBE-GGA level of DFT.

SG: F-43m
Spin magnetization, μB/atom: 0.303
Density, g/cm³: 7.07
E, eV per cell: -19.1

Cell lengths 5.543, 5.543, 5.543 Å; angles 60.00, 60.00, 60.00 degrees
Fractional coordinates of all 4 atoms:
Ac: 0.000 0.000 0.000
Ce: 0.500 0.500 0.500
Al: 0.250 0.250 0.250
Sn: 0.750 0.750 0.750

***

Entry 5:
Computed, not measured: crystalline PdSI2N at its relaxed geometry at the PBE-GGA level of DFT.

SG: P4/mmm
ΔE_f (raw), eV per atom: 1.010
Spin magnetization, μB/atom: 0.103
Density, g/cm³: 5.65
E, eV per cell: -15.7
Distance to the lowest polymorph of the same formula, eV per atom: 0.079

Cell lengths 5.657, 5.657, 3.733 Å; angles 90.00, 90.00, 90.00 degrees
Fractional coordinates of all 5 atoms:
Pd: 0.000 0.000 0.000
S: 0.500 0.500 0.500
I: 0.000 0.500 0.000
I: 0.500 0.000 0.000
N: 0.000 0.000 0.500

***

Entry 6:
Computed, not measured: crystalline Tm4P3PtRh12 at its relaxed geometry at the PBE-GGA level of DFT.

SG: Im-3m
Spin magnetization, μB/atom: 0.000
Density, g/cm³: 9.93
E, eV per cell: -137.4

Cell lengths 7.816, 7.816, 7.816 Å; angles 109.47, 109.47, 109.47 degrees
Fractional coordinates of all 20 atoms:
Tm: 0.000 0.000 0.500
Tm: 0.000 0.500 0.000
Tm: 0.500 0.000 0.000
Tm: 0.500 0.500 0.500
P: 0.000 0.500 0.500
P: 0.500 0.000 0.500
P: 0.500 0.500 0.000
Pt: 0.000 0.000 0.000
Rh: 0.000 0.270 0.270
Rh: 0.000 0.730 0.730
Rh: 0.250 0.500 0.750
Rh: 0.250 0.750 0.500
Rh: 0.270 0.000 0.270
Rh: 0.270 0.270 0.000
Rh: 0.500 0.250 0.750
Rh: 0.500 0.750 0.250
Rh: 0.730 0.000 0.730
Rh: 0.730 0.730 0.000
Rh: 0.750 0.250 0.500
Rh: 0.750 0.500 0.250

***

Entry 7:
Computed, not measured: crystalline PaTl2PbCl8 at its relaxed geometry at the PBE-GGA level of DFT.

SG: P2/m
ΔE_f (raw), eV per atom: -1.420
Spin magnetization, μB/atom: 0.084
Density, g/cm³: 4.20
E, eV per cell: -49.7

Cell lengths 7.019, 8.800, 7.246 Å; angles 90.00, 92.59, 90.00 degrees
Fractional coordinates of all 12 atoms:
Pa: 0.000 0.000 0.000
Tl: 0.500 0.257 0.500
Tl: 0.500 0.743 0.500
Pb: 0.000 0.500 0.000
Cl: 0.207 0.000 0.309
Cl: 0.213 0.226 0.868
Cl: 0.213 0.774 0.868
Cl: 0.252 0.500 0.316
Cl: 0.748 0.500 0.684
Cl: 0.787 0.226 0.132
Cl: 0.787 0.774 0.132
Cl: 0.793 0.000 0.691

***

Entry 8:
Computed, not measured: crystalline SbPSe at its relaxed geometry at the PBE-GGA level of DFT.

SG: R3
ΔE_f (raw), eV per atom: 0.066
Spin magnetization, μB/atom: 0.000
Density, g/cm³: 4.32
E, eV per cell: -38.5
Distance to the lowest polymorph of the same formula, eV per atom: 0.078

Cell lengths 7.412, 7.412, 7.412 Å; angles 56.84, 56.84, 56.84 degrees
Fractional coordinates of all 9 atoms:
Sb: 0.000 0.000 0.000
Sb: 0.230 0.230 0.230
Sb: 0.560 0.560 0.560
P: 0.422 0.535 0.976
P: 0.535 0.976 0.422
P: 0.976 0.422 0.535
Se: 0.069 0.729 0.411
Se: 0.411 0.069 0.729
Se: 0.729 0.411 0.069

***

Entry 9:
Computed, not measured: crystalline Mg2TlRu at its relaxed geometry at the PBE-GGA level of DFT.

SG: I-4m2
Spin magnetization, μB/atom: 0.039
Density, g/cm³: 8.07
E, eV per cell: -14.6
Distance to the lowest polymorph of the same formula, eV per atom: 0.009

Cell lengths 5.265, 5.265, 5.265 Å; angles 134.61, 134.61, 66.13 degrees
Fractional coordinates of all 4 atoms:
Mg: 0.000 0.000 0.000
Mg: 0.750 0.250 0.500
Tl: 0.500 0.500 0.000
Ru: 0.250 0.750 0.500

***

Entry 10:
Computed, not measured: crystalline NdMg2Au at its relaxed geometry at the PBE-GGA level of DFT.

SG: F-43m
Spin magnetization, μB/atom: 0.000
Density, g/cm³: 7.03
E, eV per cell: -13.0

Cell lengths 5.068, 5.068, 5.068 Å; angles 60.00, 60.00, 60.00 degrees
Fractional coordinates of all 4 atoms:
Nd: 0.000 0.000 0.000
Mg: 0.250 0.250 0.250
Mg: 0.500 0.500 0.500
Au: 0.750 0.750 0.750

***

Entry 11:
Computed, not measured: crystalline MnCd2Sn2 at its relaxed geometry at the PBE-GGA level of DFT.

SG: P4/mbm
Spin magnetization, μB/atom: 0.739
Density, g/cm³: 7.05
E, eV per cell: -35.6

Cell lengths 7.209, 7.209, 4.692 Å; angles 90.00, 90.00, 90.00 degrees
Fractional coordinates of all 10 atoms:
Mn: 0.000 0.000 0.000
Mn: 0.500 0.500 0.000
Cd: 0.166 0.334 0.500
Cd: 0.334 0.834 0.500
Cd: 0.666 0.166 0.500
Cd: 0.834 0.666 0.500
Sn: 0.148 0.648 0.000
Sn: 0.352 0.148 0.000
Sn: 0.648 0.852 0.000
Sn: 0.852 0.352 0.000

***

Entry 12:
Computed, not measured: crystalline MnCu2W at its relaxed geometry at the PBE-GGA level of DFT.

SG: Cm
Spin magnetization, μB/atom: 0.594
Density, g/cm³: 11.40
E, eV per cell: -29.1
Distance to the lowest polymorph of the same formula, eV per atom: 0.076

Cell lengths 4.533, 4.533, 4.670 Å; angles 99.60, 99.60, 34.34 degrees
Fractional coordinates of all 4 atoms:
Mn: 0.000 0.000 0.000
Cu: 0.492 0.492 0.491
Cu: 0.745 0.745 0.268
W: 0.246 0.246 0.767

***

Entry 13:
Computed, not measured: crystalline CaTh2 at its relaxed geometry at the PBE-GGA level of DFT.

SG: I4/mmm
Spin magnetization, μB/atom: 0.000
Density, g/cm³: 7.96
E, eV per cell: -16.4
Distance to the lowest polymorph of the same formula, eV per atom: 0.000

Cell lengths 8.855, 8.855, 8.855 Å; angles 157.08, 157.08, 32.64 degrees
Fractional coordinates of all 3 atoms:
Ca: 0.000 0.000 0.000
Th: 0.324 0.324 0.000
Th: 0.676 0.676 0.000

***

Entry 14:
Computed, not measured: crystalline SrBeN2F at its relaxed geometry at the PBE-GGA level of DFT.

SG: P4/mmm
ΔE_f (raw), eV per atom: 1.071
Spin magnetization, μB/atom: 0.972
Density, g/cm³: 1.92
E, eV per cell: -18.6
Distance to the lowest polymorph of the same formula, eV per atom: 1.861

Cell lengths 5.188, 5.188, 4.623 Å; angles 90.00, 90.00, 90.00 degrees
Fractional coordinates of all 5 atoms:
Sr: 0.000 0.000 0.000
Be: 0.500 0.500 0.500
N: 0.000 0.500 0.000
N: 0.500 0.000 0.000
F: 0.000 0.000 0.500

***

Entry 15:
Computed, not measured: crystalline Ga2PdBr8 at its relaxed geometry at the PBE-GGA level of DFT.

SG: C2/m
ΔE_f (raw), eV per atom: -0.681
Spin magnetization, μB/atom: 0.007
Density, g/cm³: 3.35
E, eV per cell: -32.1

Cell lengths 7.884, 7.884, 7.712 Å; angles 96.91, 96.91, 67.48 degrees
Fractional coordinates of all 11 atoms:
Ga: 0.216 0.216 0.327
Ga: 0.784 0.784 0.673
Pd: 0.000 0.000 0.000
Br: 0.085 0.690 0.845
Br: 0.186 0.186 0.615
Br: 0.310 0.915 0.155
Br: 0.384 0.384 0.276
Br: 0.616 0.616 0.724
Br: 0.690 0.085 0.845
Br: 0.814 0.814 0.385
Br: 0.915 0.310 0.155

***

Entry 16:
Computed, not measured: crystalline Sm2ErAg2 at its relaxed geometry at the PBE-GGA level of DFT.

SG: Cmcm
Spin magnetization, μB/atom: 0.000
Density, g/cm³: 8.59
E, eV per cell: -41.5
Distance to the lowest polymorph of the same formula, eV per atom: 0.000

Cell lengths 13.728, 13.728, 5.278 Å; angles 90.00, 90.00, 164.59 degrees
Fractional coordinates of all 10 atoms:
Sm: 0.047 0.953 0.750
Sm: 0.234 0.766 0.750
Sm: 0.766 0.234 0.250
Sm: 0.953 0.047 0.250
Er: 0.145 0.855 0.250
Er: 0.855 0.145 0.750
Ag: 0.358 0.642 0.250
Ag: 0.449 0.551 0.750
Ag: 0.551 0.449 0.250
Ag: 0.642 0.358 0.750

***

Entry 17:
Computed, not measured: crystalline RbCeCdI6 at its relaxed geometry at the PBE-GGA level of DFT.

SG: P-31c
ΔE_f (raw), eV per atom: -1.112
Spin magnetization, μB/atom: 0.111
Density, g/cm³: 4.06
E, eV per cell: -54.3

Cell lengths 8.013, 8.013, 16.191 Å; angles 90.00, 90.00, 120.00 degrees
Fractional coordinates of all 18 atoms:
Rb: 0.000 0.000 0.000
Rb: 0.000 0.000 0.500
Ce: 0.333 0.667 0.250
Ce: 0.667 0.333 0.750
Cd: 0.333 0.667 0.750
Cd: 0.667 0.333 0.250
I: 0.011 0.378 0.639
I: 0.011 0.632 0.861
I: 0.368 0.378 0.861
I: 0.368 0.989 0.639
I: 0.378 0.011 0.139
I: 0.378 0.368 0.361
I: 0.622 0.632 0.639
I: 0.622 0.989 0.861
I: 0.632 0.011 0.361
I: 0.632 0.622 0.139
I: 0.989 0.368 0.139
I: 0.989 0.622 0.361

***

Entry 18:
Computed, not measured: crystalline La2TlPt at its relaxed geometry at the PBE-GGA level of DFT.

SG: Fm-3m
Spin magnetization, μB/atom: 0.000
Density, g/cm³: 10.05
E, eV per cell: -20.8
Distance to the lowest polymorph of the same formula, eV per atom: 0.156

Cell lengths 5.409, 5.409, 5.409 Å; angles 60.00, 60.00, 60.00 degrees
Fractional coordinates of all 4 atoms:
La: 0.250 0.250 0.250
La: 0.750 0.750 0.750
Tl: 0.000 0.000 0.000
Pt: 0.500 0.500 0.500

***

Entry 19:
Computed, not measured: crystalline Ag5PbBr8 at its relaxed geometry at the PBE-GGA level of DFT.

SG: I-4
ΔE_f (raw), eV per atom: -0.395
Spin magnetization, μB/atom: 0.000
Density, g/cm³: 5.50
E, eV per cell: -36.9

Cell lengths 8.263, 8.263, 8.263 Å; angles 103.61, 103.61, 121.97 degrees
Fractional coordinates of all 14 atoms:
Ag: 0.000 0.000 0.000
Ag: 0.070 0.116 0.490
Ag: 0.420 0.930 0.045
Ag: 0.625 0.580 0.510
Ag: 0.884 0.375 0.955
Pb: 0.250 0.750 0.500
Br: 0.317 0.623 0.165
Br: 0.344 0.143 0.311
Br: 0.377 0.542 0.694
Br: 0.458 0.152 0.835
Br: 0.833 0.033 0.689
Br: 0.848 0.683 0.306
Br: 0.857 0.167 0.200
Br: 0.967 0.656 0.800

***

Entry 20:
Computed, not measured: crystalline KBa2F at its relaxed geometry at the PBE-GGA level of DFT.

SG: I-42d
ΔE_f (raw), eV per atom: -1.275
Spin magnetization, μB/atom: 0.000
Density, g/cm³: 2.59
E, eV per cell: -23.8
Distance to the lowest polymorph of the same formula, eV per atom: 0.000

Cell lengths 8.358, 8.358, 8.358 Å; angles 117.51, 117.51, 94.37 degrees
Fractional coordinates of all 8 atoms:
K: 0.000 0.000 0.000
K: 0.750 0.250 0.500
Ba: 0.295 0.625 0.170
Ba: 0.375 0.545 0.670
Ba: 0.455 0.125 0.830
Ba: 0.875 0.705 0.330
F: 0.250 0.750 0.500
F: 0.500 0.500 0.000

***

Entry 21:
Computed, not measured: crystalline CsTl2Ag2 at its relaxed geometry at the PBE-GGA level of DFT.

SG: I4/mmm
Spin magnetization, μB/atom: 0.000
Density, g/cm³: 7.61
E, eV per cell: -11.2
Distance to the lowest polymorph of the same formula, eV per atom: 0.018

Cell lengths 6.904, 6.904, 6.904 Å; angles 134.40, 134.40, 66.46 degrees
Fractional coordinates of all 5 atoms:
Cs: 0.000 0.000 0.000
Tl: 0.354 0.354 0.000
Tl: 0.646 0.646 0.000
Ag: 0.250 0.750 0.500
Ag: 0.750 0.250 0.500

***

Entry 22:
Computed, not measured: crystalline SrHgIr2 at its relaxed geometry at the PBE-GGA level of DFT.

SG: Cm
Spin magnetization, μB/atom: 0.000
Density, g/cm³: 13.68
E, eV per cell: -18.8

Cell lengths 5.800, 5.800, 5.321 Å; angles 113.45, 113.45, 30.03 degrees
Fractional coordinates of all 4 atoms:
Sr: 0.000 0.000 0.000
Hg: 0.204 0.204 0.635
Ir: 0.457 0.457 0.476
Ir: 0.770 0.770 0.148